The following is a PBE calculation of crystalline KPt2Pb at its relaxed geometry, from Alexandria via LeMat-Bulk.

Lattice parameters (Å, degrees): 4.9610 4.9610 4.9610 60.00 60.00 60.00
Closest atoms and distances in Å follow each position.
Fractional positions:
Pt: 0.0000 0.0000 0.0000  4 Pb 3.04, 4 Pt 3.04
Pt: 0.2500 0.2500 0.2500  4 K 3.04, 4 Pt 3.04
Pb: 0.7500 0.7500 0.7500  4 K 3.04, 4 Pt 3.04
K: 0.5000 0.5000 0.5000  4 Pb 3.04, 4 Pt 3.04

Total magnetic moment   0.0 μB per formula unit
Formation enthalpy at 0 K   0.24 eV/atom